Below is a relaxed structure of YHo5S6, with properties calculated at the GGA-PBE level.

Spin magnetization (μB per cell): 0.00
Fermi-level density of states (states/eV per atom): 0.3551
Energy relative to the elements, uncorrected (meV per atom): -1980
Calculated total energy (eV/atom): -6.49

The structure in POSCAR format:
```
YHo5S6
1.0
6.6464 0.1728 1.0155
1.6441 5.6417 3.2903
0.1145 0.0517 6.7468
S Ho Y
6 5 1
Direct
0.7495 0.7483 0.0000
0.2513 0.5809 0.3354
0.7487 0.4191 0.6646
0.7487 0.0837 0.3354
0.2505 0.2517 0.0000
0.2513 0.9163 0.6646
0.5000 0.8344 0.3312
0.0000 0.3336 0.3328
0.5000 0.1656 0.6688
0.0000 0.6664 0.6672
0.5000 0.5000 0.0000
0.0000 0.0000 0.0000
```